Record 1
Below is an optimized crystal structure of Ca2BeIrO6, with properties calculated at the PBE level.

M_tot, μB per formula unit: 0.0
Calculated volume, Å³ per atom: 10.59
Symmetry: P2_1/c
Formation energy (no corrections), meV/atom: -1908

abc: 5.308 5.343 9.159
angles: 90.00 125.37 90.00
Fractional positions:
Ca  0.242  0.038  0.248
Ca  0.242  0.462  0.748
Ca  0.758  0.538  0.252
Ca  0.758  0.962  0.752
Be  0.000  0.000  0.500
Be  0.000  0.500  0.000
Ir  0.500  0.000  0.000
Ir  0.500  0.500  0.500
O  0.174  0.219  0.967
O  0.174  0.281  0.467
O  0.249  0.708  0.966
O  0.249  0.792  0.466
O  0.305  0.009  0.742
O  0.305  0.491  0.242
O  0.695  0.509  0.758
O  0.695  0.991  0.258
O  0.751  0.208  0.534
O  0.751  0.292  0.034
O  0.826  0.719  0.533
O  0.826  0.781  0.033

---

Record 2
Below is an optimized crystal structure of CaBe2IrO8, with properties calculated at the PBE level.

M_tot, μB per formula unit: 1.8
Calculated volume, Å³ per atom: 12.36
Symmetry: P-3m1
Formation energy (no corrections), meV/atom: -1216

abc: 5.189 5.189 6.360
angles: 90.00 90.00 120.00
Fractional positions:
Ca  0.000  0.000  0.000
Be  0.333  0.667  0.244
Be  0.667  0.333  0.756
Ir  0.000  0.000  0.500
O  0.165  0.330  0.321
O  0.165  0.835  0.321
O  0.330  0.165  0.679
O  0.333  0.667  0.990
O  0.667  0.333  0.010
O  0.670  0.835  0.321
O  0.835  0.165  0.679
O  0.835  0.670  0.679

---

Record 3
Below is an optimized crystal structure of CaBeIrO6, with properties calculated at the PBE level.

M_tot, μB per formula unit: 0.0
Calculated volume, Å³ per atom: 11.85
Symmetry: P-31c
Formation energy (no corrections), meV/atom: -1389

abc: 4.896 4.896 10.280
angles: 90.00 90.00 120.00
Fractional positions:
Ca  0.000  0.000  0.000
Ca  0.000  0.000  0.500
Be  0.333  0.667  0.250
Be  0.667  0.333  0.750
Ir  0.333  0.667  0.750
Ir  0.667  0.333  0.250
O  0.009  0.372  0.150
O  0.009  0.637  0.350
O  0.363  0.372  0.350
O  0.363  0.991  0.150
O  0.372  0.009  0.650
O  0.372  0.363  0.850
O  0.628  0.637  0.150
O  0.628  0.991  0.350
O  0.637  0.009  0.850
O  0.637  0.628  0.650
O  0.991  0.363  0.650
O  0.991  0.628  0.850

---

Record 4
Below is an optimized crystal structure of Ca2BeP3Ir4, with properties calculated at the PBE level.

M_tot, μB per formula unit: 0.0
Calculated volume, Å³ per atom: 15.96
ΔH_f (0 K), eV/atom: -0.8008
Symmetry: P-4m2

abc: 4.063 4.063 9.670
angles: 90.00 90.00 90.00
Fractional positions:
Ca  0.000  0.500  0.240
Ca  0.500  0.000  0.760
Be  0.500  0.500  0.000
P  0.000  0.000  0.000
P  0.000  0.500  0.639
P  0.500  0.000  0.361
Ir  0.000  0.000  0.500
Ir  0.000  0.500  0.878
Ir  0.500  0.000  0.122
Ir  0.500  0.500  0.500

---

Record 5
Below is an optimized crystal structure of CaBe2IrPb, with properties calculated at the PBE level.

M_tot, μB per formula unit: 0.0
Calculated volume, Å³ per atom: 21.24
ΔH_f (0 K), eV/atom: 0.2192
Symmetry: P4/mmm

abc: 4.479 4.479 5.295
angles: 90.00 90.00 90.00
Fractional positions:
Ca  0.000  0.000  0.000
Be  0.000  0.500  0.500
Be  0.500  0.000  0.500
Ir  0.000  0.000  0.500
Pb  0.500  0.500  0.000

---

Record 6
Below is an optimized crystal structure of CaBe2IrRu, with properties calculated at the PBE level.

M_tot, μB per formula unit: 1.6
Calculated volume, Å³ per atom: 18.94
ΔH_f (0 K), eV/atom: 0.8235
Symmetry: P4/mmm

abc: 4.267 4.267 5.200
angles: 90.00 90.00 90.00
Fractional positions:
Ca  0.000  0.000  0.000
Be  0.000  0.500  0.500
Be  0.500  0.000  0.500
Ir  0.000  0.000  0.500
Ru  0.500  0.500  0.000

---

Record 7
Below is an optimized crystal structure of CaBe2IrSe, with properties calculated at the PBE level.

M_tot, μB per formula unit: 0.0
Calculated volume, Å³ per atom: 23.40
Symmetry: P4/mmm
Formation energy (no corrections), meV/atom: 2029

abc: 4.875 4.875 4.923
angles: 90.00 90.00 90.00
Fractional positions:
Ca  0.000  0.000  0.000
Be  0.000  0.500  0.000
Be  0.500  0.000  0.000
Ir  0.000  0.000  0.500
Se  0.500  0.500  0.500

---

Record 8
Below is an optimized crystal structure of CaBeSiIr, with properties calculated at the PBE level.

M_tot, μB per formula unit: 0.0
Calculated volume, Å³ per atom: 18.54
Symmetry: R3m
Formation energy (no corrections), meV/atom: -574

abc: 5.747 5.747 5.747
angles: 41.13 41.13 41.13
Fractional positions:
Ca  0.000  0.000  0.000
Be  0.526  0.526  0.526
Si  0.812  0.812  0.812
Ir  0.188  0.188  0.188

---

Record 9
Below is an optimized crystal structure of CaBeSi2Ir, with properties calculated at the PBE level.

M_tot, μB per formula unit: 0.0
Calculated volume, Å³ per atom: 16.06
Symmetry: I-4m2
Formation energy (no corrections), meV/atom: -551

abc: 5.839 5.839 5.839
angles: 140.37 140.37 57.29
Fractional positions:
Ca  0.000  0.000  0.000
Be  0.750  0.250  0.500
Si  0.380  0.380  0.000
Si  0.620  0.620  0.000
Ir  0.250  0.750  0.500

---

Record 10
Below is an optimized crystal structure of Ca2BeSi4Ir3, with properties calculated at the PBE level.

M_tot, μB per formula unit: 0.0
Calculated volume, Å³ per atom: 16.75
Symmetry: P-4m2
Formation energy (no corrections), meV/atom: -689

abc: 4.058 4.058 10.173
angles: 90.00 90.00 90.00
Fractional positions:
Ca  0.000  0.500  0.247
Ca  0.500  0.000  0.753
Be  0.500  0.500  0.000
Si  0.000  0.000  0.500
Si  0.000  0.500  0.870
Si  0.500  0.000  0.130
Si  0.500  0.500  0.500
Ir  0.000  0.000  0.000
Ir  0.000  0.500  0.629
Ir  0.500  0.000  0.371

---

Record 11
Below is an optimized crystal structure of Ca2Be4Si3Ir, with properties calculated at the PBE level.

M_tot, μB per formula unit: 0.0
Calculated volume, Å³ per atom: 14.73
Symmetry: P-4m2
Formation energy (no corrections), meV/atom: -340

abc: 3.827 3.827 10.059
angles: 90.00 90.00 90.00
Fractional positions:
Ca  0.000  0.500  0.245
Ca  0.500  0.000  0.755
Be  0.000  0.000  0.000
Be  0.000  0.500  0.634
Be  0.500  0.000  0.366
Be  0.500  0.500  0.000
Si  0.000  0.500  0.870
Si  0.500  0.000  0.130
Si  0.500  0.500  0.500
Ir  0.000  0.000  0.500

---

Record 12
Below is an optimized crystal structure of Ca2Be3Si4Ir, with properties calculated at the PBE level.

M_tot, μB per formula unit: 0.0
Calculated volume, Å³ per atom: 15.31
Symmetry: P-4m2
Formation energy (no corrections), meV/atom: -372

abc: 3.897 3.897 10.079
angles: 90.00 90.00 90.00
Fractional positions:
Ca  0.000  0.500  0.241
Ca  0.500  0.000  0.759
Be  0.000  0.500  0.870
Be  0.500  0.000  0.130
Be  0.500  0.500  0.500
Si  0.000  0.000  0.000
Si  0.000  0.500  0.638
Si  0.500  0.000  0.362
Si  0.500  0.500  0.000
Ir  0.000  0.000  0.500

---

Record 13
Below is an optimized crystal structure of CaTi2BeIr, with properties calculated at the PBE level.

M_tot, μB per formula unit: 1.7
Calculated volume, Å³ per atom: 24.65
ΔH_f (0 K), eV/atom: 0.6047
Symmetry: P4/mmm

abc: 4.754 4.754 5.454
angles: 90.00 90.00 90.00
Fractional positions:
Ca  0.000  0.000  0.000
Ti  0.000  0.500  0.500
Ti  0.500  0.000  0.500
Be  0.500  0.500  0.000
Ir  0.000  0.000  0.500